A plane-wave DFT calculation with PBE was carried out for a relaxed BaPu4Pd3S12 crystal.

Summary:
E	-145.4	eV for the cell shown
total magnetic moment	0.8000	μB/atom

Structure (extended XYZ):
```
20
Lattice="-4.8853 4.8853 4.8853 4.8853 -4.8853 4.8853 4.8853 4.8853 -4.8853" Properties=species:S:1:pos:R:3 pbc="T T T"
Ba 0.0000 0.0000 0.0000
Pu 2.4427 2.4427 -2.4427
Pu 2.4427 -2.4427 2.4427
Pu -2.4427 2.4427 2.4427
Pu 2.4427 2.4427 2.4427
Pd 4.8853 0.0000 0.0000
Pd 0.0000 4.8853 0.0000
Pd 0.0000 0.0000 4.8853
S 4.8853 -1.8009 3.3290
S 3.0844 1.5563 0.0000
S 6.6863 1.5563 0.0000
S 3.3290 4.8853 -1.8009
S 1.5563 0.0000 3.0844
S 0.0000 3.0844 1.5563
S 4.8853 1.8009 3.3290
S 3.3290 4.8853 1.8009
S 1.5563 0.0000 6.6863
S -1.8009 3.3290 4.8853
S 1.8009 3.3290 4.8853
S 0.0000 6.6863 1.5563
```

=====

A plane-wave DFT calculation with PBE was carried out for a relaxed Na3SnHg crystal.

Summary:
calculated formation energy	-169	meV/atom
total magnetic moment	0.0000	μB/atom

Structure (extended XYZ):
```
20
Lattice="5.6137 -7.4122 0.0000 5.6137 7.4122 0.0000 -2.3971 0.0000 6.8319" Properties=species:S:1:pos:R:3 pbc="T T T"
Na 0.7050 2.1609 3.6640
Na 1.9780 4.6443 6.6247
Na 5.6537 4.6443 3.6232
Na 1.4904 0.4732 6.5982
Na 1.9036 -2.1609 0.2480
Na 2.6889 -0.4732 3.1822
Na 6.1413 0.4732 3.6497
Na 6.9266 2.1609 6.5839
Na 7.3399 -0.4732 0.2337
Na 3.1765 -4.6443 3.2087
Na 6.8523 -4.6443 0.2072
Na 8.1252 -2.1609 3.1680
Sn 5.0144 7.2221 1.7080
Sn 3.8158 2.2953 5.1240
Sn 5.0144 -2.2953 1.7080
Sn 3.8158 -7.2221 5.1240
Hg 3.5946 2.4563 2.1733
Hg 6.4342 2.4563 1.2427
Hg 2.3960 -2.4563 5.5892
Hg 5.2356 -2.4563 4.6587
```

=====

Number 1: V 466.4 Å³/f.u.. Number 2: V 142.1 Å³/f.u..